[1]
Computed, not measured: AlPtBr2 after structural relaxation at the PBE level of DFT.

Cell: 3.4350 3.4350 26.5536 Å, 90.00 90.00 120.00°
Sites, in units of the cell vectors:
Al1 0.0000 0.0000 0.0000
Al2 0.3333 0.6667 0.6667
Al3 0.6667 0.3333 0.3333
Pt1 0.0000 0.0000 0.5000
Pt2 0.3333 0.6667 0.1667
Pt3 0.6667 0.3333 0.8333
Br1 0.0000 0.0000 0.4072
Br2 0.0000 0.0000 0.5928
Br3 0.3333 0.6667 0.0738
Br4 0.3333 0.6667 0.2595
Br5 0.6667 0.3333 0.7405
Br6 0.6667 0.3333 0.9262

Computed properties:
- E above lowest polymorph: 0.688 eV per atom
- Formation energy from raw total energies: 0.204 eV/atom
- Theoretical density: 7.0 g cm⁻³
- Calculated volume: 271.3 Å³/cell
- Total DFT energy (no corrections): -3.0783 eV per atom
- Magnetization: 0.000 μB/atom

=====

[2]
Computed, not measured: ReF after structural relaxation at the PBE level of DFT.

Cell: 2.7052 4.5925 4.1380 Å, 90.00 90.00 90.00°
Sites, in units of the cell vectors:
Re1 0.2500 0.2500 0.0339
Re2 0.7500 0.7500 0.9661
F1 0.2500 0.2500 0.5119
F2 0.7500 0.7500 0.4881

Computed properties:
- E above lowest polymorph: 0.406 eV per atom
- Formation energy from raw total energies: -0.603 eV/atom
- Theoretical density: 13.3 g cm⁻³
- Calculated volume: 51.4 Å³/cell
- Total DFT energy (no corrections): -7.7630 eV per atom
- Magnetization: 0.000 μB/atom

=====

[3]
Computed, not measured: NaNpMnS3 after structural relaxation at the PBE level of DFT.

Cell: 8.0338 3.9857 9.1604 Å, 90.00 102.29 90.00°
Sites, in units of the cell vectors:
Na1 0.1775 0.2500 0.1883
Na2 0.8225 0.7500 0.8117
Np1 0.3346 0.7500 0.8421
Np2 0.6654 0.2500 0.1579
Mn1 0.0777 0.2500 0.5943
Mn2 0.9223 0.7500 0.4057
S1 0.1006 0.2500 0.8531
S2 0.2089 0.7500 0.5391
S3 0.4295 0.7500 0.1486
S4 0.5705 0.2500 0.8514
S5 0.7911 0.2500 0.4609
S6 0.8994 0.7500 0.1469

Computed properties:
- Formation energy from raw total energies: -1.046 eV/atom
- Theoretical density: 4.8 g cm⁻³
- Calculated volume: 286.6 Å³/cell
- Total DFT energy (no corrections): -7.0144 eV per atom
- Magnetization: 1.278 μB/atom

=====

[4]
Computed, not measured: Fe3Ge after structural relaxation at the PBE level of DFT.

Cell: 3.6371 3.6371 3.6371 Å, 90.00 90.00 90.00°
Sites, in units of the cell vectors:
Fe1 0.0000 0.0000 0.5000
Fe2 0.0000 0.5000 0.0000
Fe3 0.5000 0.0000 0.0000
Ge1 0.5000 0.5000 0.5000

Computed properties:
- Theoretical density: 8.3 g cm⁻³
- Calculated volume: 48.1 Å³/cell
- Total DFT energy (no corrections): -7.5931 eV per atom
- Magnetization: 1.613 μB/atom
- E_form: -0.0917 eV/atom

=====

[5]
Computed, not measured: LaH12Rh6 after structural relaxation at the PBE level of DFT.

Cell: 5.6747 5.6747 5.6747 Å, 105.01 105.01 105.01°
Sites, in units of the cell vectors:
La1 0.0000 0.0000 0.0000
H1 0.0599 0.3848 0.8596
H2 0.1404 0.9401 0.6152
H3 0.1849 0.5060 0.4449
H4 0.3848 0.8596 0.0599
H5 0.4449 0.1849 0.5060
H6 0.4940 0.5551 0.8151
H7 0.5060 0.4449 0.1849
H8 0.5551 0.8151 0.4940
H9 0.6152 0.1404 0.9401
H10 0.8151 0.4940 0.5551
H11 0.8596 0.0599 0.3848
H12 0.9401 0.6152 0.1404
Rh1 0.1927 0.2651 0.6078
Rh2 0.2651 0.6078 0.1927
Rh3 0.3922 0.8073 0.7349
Rh4 0.6078 0.1927 0.2651
Rh5 0.7349 0.3922 0.8073
Rh6 0.8073 0.7349 0.3922

Computed properties:
- Theoretical density: 8.0 g cm⁻³
- Calculated volume: 159.7 Å³/cell
- Total DFT energy (no corrections): -4.8560 eV per atom
- Magnetization: 0.000 μB/atom

=====

[6]
Computed, not measured: BiB2Se after structural relaxation at the PBE level of DFT.

Cell: 6.4101 6.4101 6.4101 Å, 90.00 90.00 90.00°
Sites, in units of the cell vectors:
Bi1 0.0000 0.0000 0.0000
Bi2 0.0000 0.5000 0.5000
Bi3 0.5000 0.0000 0.5000
Bi4 0.5000 0.5000 0.0000
B1 0.2500 0.2500 0.2500
B2 0.2500 0.2500 0.7500
B3 0.2500 0.7500 0.2500
B4 0.2500 0.7500 0.7500
B5 0.7500 0.2500 0.2500
B6 0.7500 0.2500 0.7500
B7 0.7500 0.7500 0.2500
B8 0.7500 0.7500 0.7500
Se1 0.0000 0.0000 0.5000
Se2 0.0000 0.5000 0.0000
Se3 0.5000 0.0000 0.0000
Se4 0.5000 0.5000 0.5000

Computed properties:
- E above lowest polymorph: 0.781 eV per atom
- Formation energy from raw total energies: 1.665 eV/atom
- Theoretical density: 7.8 g cm⁻³
- Calculated volume: 263.4 Å³/cell
- Total DFT energy (no corrections): -3.5148 eV per atom
- Magnetization: 0.000 μB/atom

=====

[7]
Computed, not measured: RbBa2IrSe after structural relaxation at the PBE level of DFT.

Cell: 6.1154 6.1154 5.2417 Å, 90.00 90.00 90.00°
Sites, in units of the cell vectors:
Rb1 0.0000 0.0000 0.0000
Ba1 0.0000 0.5000 0.5000
Ba2 0.5000 0.0000 0.5000
Ir1 0.5000 0.5000 0.5000
Se1 0.5000 0.5000 0.0000

Computed properties:
- Formation energy from raw total energies: -0.170 eV/atom
- Theoretical density: 5.3 g cm⁻³
- Calculated volume: 196.0 Å³/cell
- Total DFT energy (no corrections): -3.6017 eV per atom
- Magnetization: 0.000 μB/atom

=====

[8]
Computed, not measured: Nd2YTcN4 after structural relaxation at the PBE level of DFT.

Cell: 6.2378 6.2378 12.0799 Å, 90.00 90.00 147.58°
Sites, in units of the cell vectors:
Nd1 0.1323 0.8677 0.5396
Nd2 0.1323 0.8677 0.9604
Nd3 0.8677 0.1323 0.0396
Nd4 0.8677 0.1323 0.4604
Y1 0.3663 0.6337 0.7500
Y2 0.6337 0.3663 0.2500
Tc1 0.3600 0.6400 0.2500
Tc2 0.6400 0.3600 0.7500
N1 0.0632 0.9368 0.7500
N2 0.2311 0.7689 0.1384
N3 0.2311 0.7689 0.3616
N4 0.5000 0.5000 0.0000
N5 0.5000 0.5000 0.5000
N6 0.7689 0.2311 0.6384
N7 0.7689 0.2311 0.8616
N8 0.9368 0.0632 0.2500

Computed properties:
- Formation energy from raw total energies: -0.888 eV/atom
- Theoretical density: 7.0 g cm⁻³
- Calculated volume: 252.0 Å³/cell
- Total DFT energy (no corrections): -8.3460 eV per atom
- Magnetization: 0.000 μB/atom

=====

[9]
Computed, not measured: RbPdF3 after structural relaxation at the PBE level of DFT.

Cell: 4.3441 4.3441 4.3441 Å, 90.00 90.00 90.00°
Sites, in units of the cell vectors:
Rb1 0.0000 0.0000 0.0000
Pd1 0.5000 0.5000 0.5000
F1 0.0000 0.5000 0.5000
F2 0.5000 0.0000 0.5000
F3 0.5000 0.5000 0.0000

Computed properties:
- Formation energy from raw total energies: -1.864 eV/atom
- Theoretical density: 5.0 g cm⁻³
- Calculated volume: 82.0 Å³/cell
- Total DFT energy (no corrections): -4.2191 eV per atom
- Magnetization: 0.000 μB/atom

=====

[10]
Computed, not measured: Tb8InNi2 after structural relaxation at the PBE level of DFT.

Cell: 7.9790 7.9790 5.3410 Å, 97.63 97.63 114.58°
Sites, in units of the cell vectors:
Tb1 0.0759 0.3307 0.5715
Tb2 0.2491 0.7509 0.0000
Tb3 0.3307 0.0759 0.5715
Tb4 0.3931 0.3931 0.1962
Tb5 0.6069 0.6069 0.8038
Tb6 0.6693 0.9241 0.4285
Tb7 0.7509 0.2491 0.0000
Tb8 0.9241 0.6693 0.4285
In1 0.0000 0.0000 0.0000
Ni1 0.3041 0.6959 0.5000
Ni2 0.6959 0.3041 0.5000

Computed properties:
- Theoretical density: 8.3 g cm⁻³
- Calculated volume: 299.8 Å³/cell
- Total DFT energy (no corrections): -4.8359 eV per atom
- Magnetization: 0.000 μB/atom
- E_form: -0.1683 eV/atom

=====

[11]
Computed, not measured: CrIn2S4 after structural relaxation at the PBE level of DFT.

Cell: 7.5756 7.5756 7.5756 Å, 120.89 117.91 91.07°
Sites, in units of the cell vectors:
Cr1 0.5000 0.0000 0.0000
Cr2 0.5000 0.5000 0.5000
In1 0.0000 0.0000 0.0000
In2 0.1118 0.3618 0.7500
In3 0.5000 0.0000 0.5000
In4 0.8882 0.6382 0.2500
S1 0.2690 0.2568 0.4878
S2 0.2690 0.7812 0.0122
S3 0.2904 0.2462 0.0442
S4 0.2980 0.7538 0.5442
S5 0.7020 0.2462 0.4558
S6 0.7096 0.7538 0.9558
S7 0.7310 0.2188 0.9878
S8 0.7310 0.7432 0.5122

Computed properties:
- Formation energy from raw total energies: -0.556 eV/atom
- Theoretical density: 4.4 g cm⁻³
- Calculated volume: 309.9 Å³/cell
- Total DFT energy (no corrections): -5.0721 eV per atom
- Magnetization: 0.480 μB/atom

=====

[12]
Computed, not measured: Mn2ZnSb after structural relaxation at the PBE level of DFT.

Cell: 6.0983 6.0983 6.0983 Å, 90.00 90.00 90.00°
Sites, in units of the cell vectors:
Mn1 0.2500 0.2500 0.2500
Mn2 0.2500 0.2500 0.7500
Mn3 0.2500 0.7500 0.2500
Mn4 0.2500 0.7500 0.7500
Mn5 0.7500 0.2500 0.2500
Mn6 0.7500 0.2500 0.7500
Mn7 0.7500 0.7500 0.2500
Mn8 0.7500 0.7500 0.7500
Zn1 0.0000 0.0000 0.0000
Zn2 0.0000 0.5000 0.5000
Zn3 0.5000 0.0000 0.5000
Zn4 0.5000 0.5000 0.0000
Sb1 0.0000 0.0000 0.5000
Sb2 0.0000 0.5000 0.0000
Sb3 0.5000 0.0000 0.0000
Sb4 0.5000 0.5000 0.5000

Computed properties:
- E above lowest polymorph: 0.142 eV per atom
- Formation energy from raw total energies: 0.281 eV/atom
- Theoretical density: 8.7 g cm⁻³
- Calculated volume: 226.8 Å³/cell
- Total DFT energy (no corrections): -5.6532 eV per atom
- Magnetization: 0.710 μB/atom

=====

[13]
Computed, not measured: BaAc8 after structural relaxation at the PBE level of DFT.

Cell: 6.9925 6.9925 9.8703 Å, 90.06 90.06 119.99°
Sites, in units of the cell vectors:
Ba1 0.0000 0.0000 0.0000
Ac1 0.0002 0.3399 0.6627
Ac2 0.9998 0.6601 0.3373
Ac3 0.3334 0.6666 0.0000
Ac4 0.3399 0.0002 0.6627
Ac5 0.3396 0.3396 0.3376
Ac6 0.6601 0.9998 0.3373
Ac7 0.6604 0.6604 0.6624
Ac8 0.6666 0.3334 0.0000

Computed properties:
- Theoretical density: 7.8 g cm⁻³
- Calculated volume: 418.0 Å³/cell
- Total DFT energy (no corrections): -3.8193 eV per atom
- Magnetization: 0.000 μB/atom
- E_form: 0.0463 eV/atom

=====

[14]
Computed, not measured: Tm2MgHg3 after structural relaxation at the PBE level of DFT.

Cell: 5.0687 5.0687 12.6206 Å, 90.00 90.00 120.00°
Sites, in units of the cell vectors:
Tm1 0.0000 0.0000 0.0000
Tm2 0.0000 0.0000 0.5000
Tm3 0.3333 0.6667 0.1759
Tm4 0.6667 0.3333 0.8241
Mg1 0.3333 0.6667 0.6627
Mg2 0.6667 0.3333 0.3373
Hg1 0.0000 0.0000 0.2538
Hg2 0.0000 0.0000 0.7462
Hg3 0.3333 0.6667 0.4189
Hg4 0.3333 0.6667 0.9162
Hg5 0.6667 0.3333 0.0838
Hg6 0.6667 0.3333 0.5811

Computed properties:
- E above lowest polymorph: 0.000 eV per atom
- Theoretical density: 11.4 g cm⁻³
- Calculated volume: 280.8 Å³/cell
- Total DFT energy (no corrections): -2.3565 eV per atom
- Magnetization: 0.000 μB/atom
- E_form: -0.4494 eV/atom

=====

[15]
Computed, not measured: AcLaSe after structural relaxation at the PBE level of DFT.

Cell: 4.2246 4.2246 7.1101 Å, 90.00 90.00 120.00°
Sites, in units of the cell vectors:
Ac1 0.0000 0.0000 0.0000
La1 0.3333 0.6667 0.4567
Se1 0.6667 0.3333 0.7119

Computed properties:
- Formation energy from raw total energies: -1.118 eV/atom
- Theoretical density: 6.7 g cm⁻³
- Calculated volume: 109.9 Å³/cell
- Total DFT energy (no corrections): -5.2918 eV per atom
- Magnetization: 0.528 μB/atom

=====

[16]
Computed, not measured: Cs2BaAlI6 after structural relaxation at the PBE level of DFT.

Cell: 8.9490 8.9490 8.9490 Å, 119.97 119.97 90.06°
Sites, in units of the cell vectors:
Cs1 0.2500 0.7500 0.5000
Cs2 0.7500 0.2500 0.5000
Ba1 0.0000 0.0000 0.0000
Al1 0.5000 0.5000 0.0000
I1 0.2678 0.2678 0.0000
I2 0.2676 0.2676 0.5352
I3 0.2676 0.7324 0.0000
I4 0.7324 0.2676 0.0000
I5 0.7322 0.7322 0.0000
I6 0.7324 0.7324 0.4648

Computed properties:
- Formation energy from raw total energies: -1.202 eV/atom
- Theoretical density: 3.9 g cm⁻³
- Calculated volume: 507.0 Å³/cell
- Total DFT energy (no corrections): -2.8690 eV per atom
- Magnetization: 0.000 μB/atom

=====

[17]
Computed, not measured: Tb7Nd2Tl2 after structural relaxation at the PBE level of DFT.

Cell: 7.7185 7.7185 6.5735 Å, 104.96 104.96 101.27°
Sites, in units of the cell vectors:
Tb1 0.0000 0.0000 0.0000
Tb2 0.0635 0.5760 0.8025
Tb3 0.3374 0.3374 0.5345
Tb4 0.4240 0.9365 0.1975
Tb5 0.5760 0.0635 0.8025
Tb6 0.6626 0.6626 0.4655
Tb7 0.9365 0.4240 0.1975
Nd1 0.1406 0.8594 0.5000
Nd2 0.8594 0.1406 0.5000
Tl1 0.3275 0.3275 0.0208
Tl2 0.6725 0.6725 0.9792

Computed properties:
- Theoretical density: 8.6 g cm⁻³
- Calculated volume: 350.8 Å³/cell
- Total DFT energy (no corrections): -4.1819 eV per atom
- Magnetization: 0.000 μB/atom
- E_form: 0.0617 eV/atom

=====

[18]
Computed, not measured: SmTmAg2S4 after structural relaxation at the PBE level of DFT.

Cell: 6.5511 4.0465 7.0000 Å, 90.00 110.27 90.00°
Sites, in units of the cell vectors:
Sm1 0.0000 0.0000 0.0000
Tm1 0.0000 0.5000 0.5000
Ag1 0.5000 0.0000 0.5000
Ag2 0.5000 0.5000 0.0000
S1 0.2399 0.0000 0.7370
S2 0.2426 0.5000 0.2530
S3 0.7574 0.5000 0.7470
S4 0.7601 0.0000 0.2630

Computed properties:
- Formation energy from raw total energies: -1.266 eV/atom
- Theoretical density: 6.3 g cm⁻³
- Calculated volume: 174.1 Å³/cell
- Total DFT energy (no corrections): -5.1910 eV per atom
- Magnetization: 0.000 μB/atom